# LiPm2Ti

LiPm2Ti after structural relaxation (PBE-GGA, Alexandria via LeMat-Bulk).

Cell: 3.485 3.485 8.755 Å, 90.00 90.00 90.00°
Element x y z (fractional)
Li  0.000  0.000  0.000
Pm  0.500  0.500  0.266
Pm  0.500  0.500  0.734
Ti  0.000  0.000  0.500

polymorph energy (0 for the lowest one): 0.000 eV per atom
total moment: 0.0 μB/f.u.
space-group type: P4/mmm, No. 123
final energy: -4.65 eV per atom